No. 1
The following is a GGA-PBE calculation of a geometry-optimized KLa5 structure, from Alexandria.

For the volume, the calculation gives 257.89 Å³/cell. Its final energy is -3.8734 eV/atom. As for the crystal system: hexagonal. For the distance to the lowest polymorph of the same formula, the calculation gives 0.203 eV/atom. The density of states at the Fermi level comes out at 12.715 states/eV/f.u. As for the energy relative to the elements: 9.6 kcal/mol of atoms. For the total magnetic moment, the calculation gives 0.00 μB per formula unit.

It has space group P6/mmm (No. 191), with a = 7.0595 Å, b = 7.0595 Å, c = 5.9752 Å, α = 90.00°, β = 90.00° and γ = 120.00°. Symmetry generates all atoms from K at (0.0000, 0.0000, 0.0000), La at (0.0000, 0.5000, 0.5000) and La at (0.3333, 0.6667, 0.0000).


No. 2
The following is a GGA-PBE calculation of a geometry-optimized KLa3 structure, from Alexandria.

For the volume, the calculation gives 331.24 Å³/cell. Its final energy is -3.7651 eV/atom. As for the crystal system: orthorhombic. The density of states at the Fermi level comes out at 7.143 states/eV/f.u. As for the energy relative to the elements: 4.7 kcal/mol of atoms. For the total magnetic moment, the calculation gives 0.00 μB per formula unit.

It has space group Cmmm (No. 65), with a = 3.828 Å, b = 6.393 Å, c = 13.533 Å, α = 90.00°, β = 90.00° and γ = 90.00°. Symmetry generates all atoms from K at (0.000, 0.000, 0.000), La at (0.000, 0.000, 0.500) and La at (0.000, 0.500, 0.279).


No. 3
The following is a GGA-PBE calculation of a geometry-optimized KLa structure, from Alexandria.

For the volume, the calculation gives 183.65 Å³/cell. Its final energy is -2.6359 eV/atom. As for the crystal system: orthorhombic. The density of states at the Fermi level comes out at 2.531 states/eV/f.u. As for the energy relative to the elements: 8.7 kcal/mol of atoms. For the total magnetic moment, the calculation gives 0.00 μB per formula unit.

It has space group Cmmm (No. 65), with a = 3.875 Å, b = 6.423 Å, c = 7.379 Å, α = 90.00°, β = 90.00° and γ = 90.00°. Symmetry generates all atoms from K at (0.000, 0.000, 0.000) and La at (0.000, 0.500, 0.500).


No. 4
The following is a GGA-PBE calculation of a geometry-optimized KLa structure, from Alexandria.

For the volume, the calculation gives 94.94 Å³/cell. Its final energy is -2.5389 eV/atom. As for the crystal system: tetragonal. The density of states at the Fermi level comes out at 2.656 states/eV/f.u. As for the energy relative to the elements: 10.9 kcal/mol of atoms. For the total magnetic moment, the calculation gives 0.00 μB per formula unit.

It has space group P4/mmm (No. 123), with a = 3.615 Å, b = 3.615 Å, c = 7.266 Å, α = 90.00°, β = 90.00° and γ = 90.00°. Symmetry generates all atoms from K at (0.000, 0.000, 0.000) and La at (0.500, 0.500, 0.500).


No. 5
The following is a GGA-PBE calculation of a geometry-optimized KLa structure, from Alexandria.

For the volume, the calculation gives 360.02 Å³/cell. Its final energy is -1.3026 eV/atom. As for the crystal system: cubic. The density of states at the Fermi level comes out at 3.424 states/eV/f.u. As for the energy relative to the elements: 39.4 kcal/mol of atoms. For the total magnetic moment, the calculation gives 0.02 μB per formula unit.

It has space group F-43m (No. 216), with a = 7.114 Å, b = 7.114 Å, c = 7.114 Å, α = 90.00°, β = 90.00° and γ = 90.00°. Symmetry generates all atoms from K at (0.000, 0.000, 0.000) and La at (0.250, 0.250, 0.750).


No. 6
The following is a GGA-PBE calculation of a geometry-optimized K5La4 structure, from Alexandria.

For the volume, the calculation gives 934.18 Å³/cell. Its final energy is -2.5120 eV/atom. As for the crystal system: tetragonal. For the distance to the lowest polymorph of the same formula, the calculation gives 0.000 eV/atom. The density of states at the Fermi level comes out at 13.101 states/eV/f.u. As for the energy relative to the elements: 6.6 kcal/mol of atoms. For the total magnetic moment, the calculation gives 0.38 μB per formula unit.

It has space group I4/mmm (No. 139), with a = 14.259 Å, b = 14.259 Å, c = 4.595 Å, α = 90.00°, β = 90.00° and γ = 90.00°. Symmetry generates all atoms from K at (0.000, 0.000, 0.000), K at (0.170, 0.170, 0.500) and La at (0.000, 0.373, 0.000).


No. 7
The following is a GGA-PBE calculation of a geometry-optimized KLa structure, from Alexandria.

For the volume, the calculation gives 272.04 Å³/cell. Its final energy is -2.6299 eV/atom. As for the crystal system: trigonal. The density of states at the Fermi level comes out at 3.021 states/eV/f.u. As for the energy relative to the elements: 8.8 kcal/mol of atoms. For the total magnetic moment, the calculation gives 0.01 μB per formula unit.

It has space group R-3m (No. 166, hexagonal axes), with a = 3.7577 Å, b = 3.7577 Å, c = 22.2469 Å, α = 90.00°, β = 90.00° and γ = 120.00°. Symmetry generates all atoms from K at (0.0000, 0.0000, 0.0000) and La at (0.0000, 0.0000, 0.5000).


No. 8
The following is a GGA-PBE calculation of a geometry-optimized KLa3 structure, from Alexandria.

For the volume, the calculation gives 324.47 Å³/cell. Its final energy is -3.5492 eV/atom. As for the crystal system: tetragonal. The density of states at the Fermi level comes out at 7.517 states/eV/f.u. As for the energy relative to the elements: 9.7 kcal/mol of atoms. For the total magnetic moment, the calculation gives 0.00 μB per formula unit.

It has space group I4/mmm (No. 139), with a = 5.427 Å, b = 5.427 Å, c = 11.017 Å, α = 90.00°, β = 90.00° and γ = 90.00°. Symmetry generates all atoms from K at (0.000, 0.000, 0.000), La at (0.000, 0.000, 0.500) and La at (0.000, 0.500, 0.250).


No. 9
The following is a GGA-PBE calculation of a geometry-optimized K2La structure, from Alexandria.

For the volume, the calculation gives 1223.68 Å³/cell. Its final energy is -1.8037 eV/atom. As for the crystal system: cubic. For the distance to the lowest polymorph of the same formula, the calculation gives 0.316 eV/atom. The density of states at the Fermi level comes out at 6.937 states/eV/f.u. As for the energy relative to the elements: 13.2 kcal/mol of atoms. For the total magnetic moment, the calculation gives 0.73 μB per formula unit.

It has space group Fd-3m (No. 227, origin choice 2), with a = 10.696 Å, b = 10.696 Å, c = 10.696 Å, α = 90.00°, β = 90.00° and γ = 90.00°. Symmetry generates all atoms from K at (0.000, 0.000, 0.000) and La at (0.125, 0.125, 0.625).


No. 10
The following is a GGA-PBE calculation of a geometry-optimized KLa structure, from Alexandria.

For the volume, the calculation gives 206.47 Å³/cell. Its final energy is -2.6680 eV/atom. As for the crystal system: orthorhombic. The density of states at the Fermi level comes out at 3.033 states/eV/f.u. As for the energy relative to the elements: 7.9 kcal/mol of atoms. For the total magnetic moment, the calculation gives 0.00 μB per formula unit.

It has space group Pmmn (No. 59, origin choice 2), with a = 3.721 Å, b = 5.560 Å, c = 9.980 Å, α = 90.00°, β = 90.00° and γ = 90.00°. Symmetry generates all atoms from K at (0.250, 0.250, 0.158) and La at (0.250, 0.750, 0.455).


No. 11
The following is a GGA-PBE calculation of a geometry-optimized K2La structure, from Alexandria.

For the volume, the calculation gives 155.09 Å³/cell. Its final energy is -2.0777 eV/atom. As for the crystal system: trigonal. For the distance to the lowest polymorph of the same formula, the calculation gives 0.042 eV/atom. The density of states at the Fermi level comes out at 2.531 states/eV/f.u. As for the energy relative to the elements: 6.8 kcal/mol of atoms. For the total magnetic moment, the calculation gives 0.00 μB per formula unit.

It has space group P-3m1 (No. 164), with a = 3.9748 Å, b = 3.9748 Å, c = 11.3351 Å, α = 90.00°, β = 90.00° and γ = 120.00°. Symmetry generates all atoms from K at (0.3333, 0.6667, 0.1825) and La at (0.0000, 0.0000, 0.5000).


No. 12
The following is a GGA-PBE calculation of a geometry-optimized KLa structure, from Alexandria.

For the volume, the calculation gives 800.01 Å³/cell. Its final energy is -2.7269 eV/atom. As for the crystal system: tetragonal. The density of states at the Fermi level comes out at 2.820 states/eV/f.u. As for the energy relative to the elements: 6.6 kcal/mol of atoms. For the total magnetic moment, the calculation gives 0.01 μB per formula unit.

It has space group P4/m (No. 83), with a = 14.687 Å, b = 14.687 Å, c = 3.709 Å, α = 90.00°, β = 90.00° and γ = 90.00°. Symmetry generates all atoms from K at (0.058, 0.624, 0.000), K at (0.138, 0.168, 0.500), La at (0.224, 0.423, 0.500) and La at (0.344, 0.589, 0.000).


No. 13
The following is a GGA-PBE calculation of a geometry-optimized KLa structure, from Alexandria.

For the volume, the calculation gives 225.30 Å³/cell. Its final energy is -2.5722 eV/atom. As for the crystal system: tetragonal. The density of states at the Fermi level comes out at 3.583 states/eV/f.u. As for the energy relative to the elements: 10.2 kcal/mol of atoms. For the total magnetic moment, the calculation gives 0.35 μB per formula unit.

It has space group P4/nmm (No. 129, origin choice 2), with a = 4.574 Å, b = 4.574 Å, c = 10.767 Å, α = 90.00°, β = 90.00° and γ = 90.00°. Symmetry generates all atoms from K at (0.250, 0.250, 0.165) and La at (0.250, 0.750, 0.500).